[1]
Compound: CaCd2CuSn
Source: Alexandria via LeMat-Bulk
Functional: PBE
Structure: relaxed

* ΔH_f (0 K): -0.4 eV per formula unit
* V: 25.71 A^3/atom
* magnetic moment: 0.00 μB per cell

Unit cell a=5.002 b=5.002 c=5.138 alpha=90.00 beta=90.00 gamma=90.00
Space group P4/mmm (No. 123)
Symmetry-distinct sites (fractional):
Ca (0.000, 0.000, 0.000)
Cd (0.000, 0.500, 0.500)
Cu (0.500, 0.500, 0.500)
Sn (0.500, 0.500, 0.000)

***

[2]
Compound: Sr2CaCdCu
Source: Alexandria via LeMat-Bulk
Functional: PBE
Structure: relaxed

* ΔH_f (0 K): -0.1 eV per formula unit
* V: 38.62 A^3/atom
* ΔE to the lowest computed polymorph: 0.0 meV/atom
* magnetic moment: 0.00 μB per cell

Unit cell a=5.876 b=5.876 c=5.594 alpha=90.00 beta=90.00 gamma=90.00
Space group P4/mmm (No. 123)
Symmetry-distinct sites (fractional):
Sr (0.000, 0.500, 0.000)
Ca (0.000, 0.000, 0.500)
Cd (0.500, 0.500, 0.500)
Cu (0.000, 0.000, 0.000)

***

[3]
Compound: Sr2CaCdCu
Source: Alexandria via LeMat-Bulk
Functional: PBE
Structure: relaxed

* ΔH_f (0 K): 0.0 eV per formula unit
* V: 36.59 A^3/atom
* ΔE to the lowest computed polymorph: 15.6 meV/atom
* magnetic moment: 0.00 μB per cell

Unit cell a=5.989 b=5.989 c=5.101 alpha=90.00 beta=90.00 gamma=90.00
Space group P4/mmm (No. 123)
Symmetry-distinct sites (fractional):
Sr (0.000, 0.500, 0.000)
Ca (0.000, 0.000, 0.500)
Cd (0.500, 0.500, 0.500)
Cu (0.500, 0.500, 0.000)

***

[4]
Compound: CaTlCdCu
Source: Alexandria via LeMat-Bulk
Functional: PBE
Structure: relaxed

* ΔH_f (0 K): -0.3 eV per formula unit
* V: 22.66 A^3/atom
* magnetic moment: 0.00 μB per cell

Unit cell a=7.130 b=7.130 c=7.130 alpha=90.00 beta=90.00 gamma=90.00
Space group F-43m (No. 216)
Symmetry-distinct sites (fractional):
Ca (0.000, 0.000, 0.000)
Tl (0.250, 0.250, 0.250)
Cd (0.000, 0.000, 0.500)
Cu (0.250, 0.250, 0.750)

***

[5]
Compound: CaYCdCu
Source: Alexandria via LeMat-Bulk
Functional: PBE
Structure: relaxed

* ΔH_f (0 K): -0.8 eV per formula unit
* V: 24.45 A^3/atom
* magnetic moment: 0.00 μB per cell

Unit cell a=7.314 b=7.314 c=7.314 alpha=90.00 beta=90.00 gamma=90.00
Space group F-43m (No. 216)
Symmetry-distinct sites (fractional):
Ca (0.000, 0.000, 0.000)
Y (0.000, 0.000, 0.500)
Cd (0.250, 0.250, 0.750)
Cu (0.250, 0.250, 0.250)

***

[6]
Compound: CaYCd2Cu
Source: Alexandria via LeMat-Bulk
Functional: PBE
Structure: relaxed

* ΔH_f (0 K): 5.3 eV per formula unit
* V: 42.80 A^3/atom
* magnetic moment: 0.00 μB per cell

Unit cell a=5.770 b=5.770 c=6.428 alpha=90.00 beta=90.00 gamma=90.00
Space group P4/mmm (No. 123)
Symmetry-distinct sites (fractional):
Ca (0.000, 0.000, 0.000)
Y (0.000, 0.000, 0.500)
Cd (0.000, 0.500, 0.500)
Cu (0.500, 0.500, 0.000)